The following is a DFT calculation (GGA-PBEsol) of an optimized crystal structure of CdCoSi2. Values from VASP.

## Properties
Crystal system   orthorhombic
Uncorrected energy   -20.21 eV per cell
Space group   No. 25

```
&SYSTEM
  ibrav = 0, nat = 4, ntyp = 3
/
ATOMIC_SPECIES
Cd 112.41 Cd.upf
Co 58.93 Co.upf
Si 28.09 Si.upf
CELL_PARAMETERS angstrom
2.7256 0.0000 0.0000
0.0000 3.2281 0.0000
0.0000 0.0000 6.6694
ATOMIC_POSITIONS crystal
Cd 0.0000 0.0000 0.0000
Co 0.5000 0.5000 0.2901
Si 0.0000 0.0000 0.4272
Si 0.5000 0.5000 0.6579
```